1.
Tb3Pr2Nd7 (PBE-GGA, optimized geometry); ΔH_f (0 K) = 0.1097 eV/atom; magnetization = 0.00 μB/f.u.
1.0
-2.389 2.671 -0.808
-4.454 -3.741 0.798
1.424 6.829 18.378
Tb Pr Nd
3 2 7
Direct
0.500 0.500 0.000 Tb
0.500 0.685 0.371 Tb
0.500 0.315 0.629 Tb
0.000 0.852 0.704 Pr
0.000 0.148 0.296 Pr
0.000 0.409 0.819 Nd
0.000 0.769 0.537 Nd
0.000 0.000 0.000 Nd
0.000 0.591 0.181 Nd
0.500 0.072 0.143 Nd
0.500 0.928 0.857 Nd
0.000 0.231 0.463 Nd

2.
U6Pd3Se14 (PBE-GGA, optimized geometry); magnetization = 9.35 μB/f.u.; uncorrected formation energy = -920 meV/atom
1.0
-0.902 5.379 2.289
-9.828 -1.906 0.609
6.032 -2.260 7.687
U Pd Se
6 3 14
Direct
0.237 0.821 0.112 U
0.237 0.888 0.709 U
0.237 0.291 0.179 U
0.728 0.510 0.553 U
0.728 0.447 0.957 U
0.728 0.043 0.490 U
0.886 0.000 0.000 Pd
0.377 0.333 0.667 Pd
0.487 0.667 0.333 Pd
0.994 0.112 0.274 Se
0.994 0.726 0.838 Se
0.994 0.162 0.888 Se
0.492 0.221 0.394 Se
0.492 0.606 0.827 Se
0.492 0.173 0.779 Se
0.458 0.000 0.000 Se
0.952 0.333 0.667 Se
0.718 0.780 0.185 Se
0.718 0.815 0.595 Se
0.718 0.405 0.220 Se
0.226 0.559 0.482 Se
0.226 0.518 0.077 Se
0.226 0.923 0.441 Se

3.
CsPOs3 (PBE-GGA, optimized geometry); ΔH_f (0 K) = 4.2739 eV/atom; magnetization = 4.07 μB/f.u.
1.0
4.957 0.000 0.000
0.000 4.957 0.000
0.000 0.000 4.957
Cs P Os
1 1 3
Direct
0.000 0.000 0.000 Cs
0.500 0.500 0.500 P
0.000 0.500 0.000 Os
0.000 0.000 0.500 Os
0.500 0.000 0.000 Os

4.
ZrCo2As (PBE-GGA, optimized geometry); ΔH_f (0 K) = -0.1025 eV/atom; magnetization = 1.76 μB/f.u.
1.0
-3.577 1.548 -0.411
-0.530 -2.093 -3.271
-5.257 -6.484 2.652
As Co Zr
2 4 2
Direct
0.500 0.500 0.000 As
0.250 0.750 0.500 As
0.556 0.125 0.250 Co
0.194 0.625 0.250 Co
0.375 0.444 0.750 Co
0.875 0.806 0.750 Co
0.000 0.000 0.000 Zr
0.750 0.250 0.500 Zr

5.
CaHf2NbIn (PBE-GGA, optimized geometry); ΔH_f (0 K) = 1.8630 eV/atom; magnetization = 1.46 μB/f.u.
1.0
-2.197 -1.973 -3.858
4.188 -3.066 -0.817
-1.944 -3.416 2.855
Nb Hf Ca In
1 2 1 1
Direct
0.500 0.500 0.500 Nb
0.000 0.000 0.500 Hf
0.500 0.000 0.000 Hf
0.000 0.000 0.000 Ca
0.000 0.500 0.000 In

6.
Pu3CrS6 (PBE-GGA, optimized geometry); magnetization = 15.98 μB/f.u.; uncorrected formation energy = -1379 meV/atom
1.0
-4.273 -4.037 -4.908
6.363 -4.253 -0.270
-2.908 -2.721 6.541
Pu Cr S
6 2 12
Direct
0.113 0.617 0.293 Pu
0.293 0.113 0.617 Pu
0.383 0.707 0.887 Pu
0.617 0.293 0.113 Pu
0.707 0.887 0.383 Pu
0.887 0.383 0.707 Pu
0.000 0.000 0.000 Cr
0.500 0.500 0.500 Cr
0.036 0.692 0.941 S
0.059 0.964 0.308 S
0.200 0.430 0.565 S
0.308 0.059 0.964 S
0.430 0.565 0.200 S
0.435 0.800 0.570 S
0.565 0.200 0.430 S
0.570 0.435 0.800 S
0.692 0.941 0.036 S
0.800 0.570 0.435 S
0.941 0.036 0.692 S
0.964 0.308 0.059 S

7.
ThBeNi2 (PBE-GGA, optimized geometry); ΔH_f (0 K) = -0.4123 eV/atom; magnetization = 0.00 μB/f.u.
1.0
3.947 0.000 0.000
1.973 3.418 0.000
1.973 1.139 4.696
Ni Th Be
2 1 1
Direct
0.797 0.797 0.610 Ni
0.203 0.203 0.390 Ni
0.000 0.000 0.000 Th
0.500 0.500 0.500 Be

8.
RbSi2IrSe8 (PBE-GGA, optimized geometry); magnetization = 0.00 μB/f.u.; uncorrected formation energy = -291 meV/atom
1.0
6.231 0.000 0.000
-3.115 5.396 0.000
0.000 0.000 10.521
Rb Si Ir Se
1 2 1 8
Direct
0.000 0.000 0.000 Rb
0.667 0.333 0.300 Si
0.333 0.667 0.700 Si
0.000 0.000 0.500 Ir
0.333 0.667 0.909 Se
0.327 0.357 0.376 Se
0.643 0.970 0.376 Se
0.667 0.333 0.091 Se
0.357 0.030 0.624 Se
0.673 0.643 0.624 Se
0.970 0.327 0.624 Se
0.030 0.673 0.376 Se

9.
TaCr2Fe2 (PBE-GGA, optimized geometry); ΔH_f (0 K) = 0.2752 eV/atom; magnetization = 0.00 μB/f.u.
1.0
3.711 0.000 0.000
0.000 3.711 0.000
1.855 1.855 4.766
Cr Fe Ta
2 2 1
Direct
0.384 0.384 0.231 Cr
0.616 0.616 0.769 Cr
0.750 0.250 0.500 Fe
0.250 0.750 0.500 Fe
0.000 0.000 0.000 Ta

10.
Ac2PdBr (PBE-GGA, optimized geometry); magnetization = 0.00 μB/f.u.; uncorrected formation energy = -1075 meV/atom
1.0
4.435 0.000 0.000
2.218 3.841 0.000
2.218 1.280 8.377
Ac Pd Br
2 1 1
Direct
0.066 0.066 0.803 Ac
0.268 0.268 0.195 Ac
0.667 0.667 0.998 Pd
0.499 0.499 0.504 Br

11.
LaTb4Rh2 (PBE-GGA, optimized geometry); ΔH_f (0 K) = -0.4804 eV/atom; magnetization = 0.00 μB/f.u.
1.0
6.661 0.000 0.000
0.000 8.581 -2.985
0.000 -0.425 7.050
La Tb Rh
2 8 4
Direct
0.250 0.801 0.037 La
0.750 0.199 0.963 La
0.501 0.440 0.719 Tb
0.250 0.211 0.251 Tb
0.750 0.789 0.749 Tb
0.999 0.440 0.719 Tb
0.750 0.997 0.338 Tb
0.001 0.560 0.281 Tb
0.499 0.560 0.281 Tb
0.250 0.003 0.662 Tb
0.250 0.334 0.961 Rh
0.750 0.666 0.039 Rh
0.750 0.328 0.368 Rh
0.250 0.672 0.632 Rh

12.
Nd4GeIrCl2 (PBE-GGA, optimized geometry); magnetization = 0.00 μB/f.u.; uncorrected formation energy = -1175 meV/atom
1.0
4.157 0.000 0.000
0.000 7.521 -0.247
0.000 2.551 7.080
Nd Ge Ir Cl
4 1 1 2
Direct
0.000 0.711 0.774 Nd
0.000 0.289 0.226 Nd
0.500 0.717 0.248 Nd
0.500 0.283 0.752 Nd
0.000 0.500 0.500 Ge
0.500 0.500 0.000 Ir
0.000 0.000 0.000 Cl
0.500 0.000 0.500 Cl

13.
Dy2GaCo2 (PBE-GGA, optimized geometry); ΔH_f (0 K) = -0.4169 eV/atom; magnetization = 0.51 μB/f.u.
1.0
5.350 0.000 0.000
-2.675 4.672 0.089
0.000 -2.009 7.291
Dy Ga Co
4 2 4
Direct
0.495 0.291 0.146 Dy
0.204 0.709 0.354 Dy
0.505 0.709 0.854 Dy
0.796 0.291 0.646 Dy
0.868 0.000 0.250 Ga
0.132 0.000 0.750 Ga
0.709 0.713 0.494 Co
0.996 0.287 0.006 Co
0.291 0.287 0.506 Co
0.004 0.713 0.994 Co

14.
CrBTeN2 (PBE-GGA, optimized geometry); magnetization = 3.26 μB/f.u.; uncorrected formation energy = 1482 meV/atom
1.0
-3.397 0.309 0.163
-0.193 -2.989 1.641
0.573 3.195 5.885
Cr B Te N
1 1 1 2
Direct
0.500 0.500 0.500 Cr
0.000 0.000 0.000 B
0.000 0.000 0.500 Te
0.000 0.500 0.000 N
0.500 0.000 0.000 N

15.
Mg3AlI (PBE-GGA, optimized geometry); magnetization = 0.00 μB/f.u.; uncorrected formation energy = 770 meV/atom
1.0
5.626 0.000 0.000
0.000 5.626 0.000
0.000 0.000 5.626
I Mg Al
1 3 1
Direct
0.000 0.000 0.000 I
0.000 0.500 0.000 Mg
0.000 0.000 0.500 Mg
0.500 0.000 0.000 Mg
0.500 0.500 0.500 Al

16.
Sm2TlRu (PBE-GGA, optimized geometry); ΔH_f (0 K) = -0.3197 eV/atom; magnetization = 0.00 μB/f.u.
1.0
-1.129 -2.426 -2.160
3.248 -0.900 -0.686
-0.202 -5.661 6.464
Ru Tl Sm
1 1 2
Direct
0.500 0.500 0.000 Ru
0.500 0.500 0.500 Tl
0.000 0.000 0.799 Sm
0.000 0.000 0.201 Sm

17.
NiOs2Pb (PBE-GGA, optimized geometry); ΔH_f (0 K) = 0.8764 eV/atom; magnetization = 0.00 μB/f.u.
1.0
4.070 0.000 0.000
0.000 3.936 0.000
0.000 0.000 3.936
Ni Os Pb
1 2 1
Direct
0.500 0.000 0.500 Ni
0.000 0.000 0.000 Os
0.000 0.500 0.500 Os
0.500 0.500 0.000 Pb

18.
Ba2CaRhPb (PBE-GGA, optimized geometry); ΔH_f (0 K) = -0.2611 eV/atom; magnetization = 0.00 μB/f.u.
1.0
5.914 0.000 0.000
0.000 5.914 0.000
0.000 0.000 5.489
Pb Ca Rh Ba
1 1 1 2
Direct
0.500 0.500 0.500 Pb
0.000 0.000 0.500 Ca
0.000 0.000 0.000 Rh
0.000 0.500 0.000 Ba
0.500 0.000 0.000 Ba

19.
Mn2FePt3 (PBE-GGA, optimized geometry); ΔH_f (0 K) = -0.2470 eV/atom; magnetization = 12.45 μB/f.u.
1.0
-2.945 -1.225 0.284
1.253 -2.800 0.918
-0.281 2.606 8.335
Mn Fe Pt
2 1 3
Direct
0.500 0.500 0.831 Mn
0.500 0.500 0.169 Mn
0.500 0.500 0.500 Fe
0.000 0.000 0.000 Pt
0.000 0.000 0.661 Pt
0.000 0.000 0.339 Pt